No. 1
## Lu2MgS4 (PBE)

Data for a relaxed Lu2MgS4 crystal.

Cell and atoms, written as POSCAR:
```
Lu2MgS4
1.0
7.7514 0.0000 0.0000
0.0000 7.2789 0.0000
0.0000 0.0000 11.2103
Lu Mg S
8 4 16
Cartesian
0.4018 1.8197 2.1555 Lu
0.4638 5.4592 5.4484 Lu
3.4119 1.8197 11.0535 Lu
3.4738 5.4592 7.7606 Lu
4.2775 1.8197 3.4497 Lu
4.3394 5.4592 0.1568 Lu
7.2876 1.8197 5.7619 Lu
7.3495 5.4592 9.0549 Lu
1.3382 5.4592 1.1519 Mg
2.5375 1.8197 6.7571 Mg
5.2139 5.4592 4.4532 Mg
6.4131 1.8197 10.0584 Mg
0.9042 1.8197 10.7456 S
0.9194 0.0220 7.3944 S
0.9194 3.6174 7.3944 S
1.8188 1.8197 4.3897 S
2.0569 5.4592 9.9949 S
2.9562 3.6615 1.7893 S
2.9562 7.2569 1.7893 S
2.9715 5.4592 5.1404 S
4.7798 1.8197 6.0699 S
4.7951 0.0220 9.4210 S
4.7951 3.6174 9.4210 S
5.6945 1.8197 1.2154 S
5.9325 5.4592 6.8206 S
6.8319 3.6615 3.8159 S
6.8319 7.2569 3.8159 S
6.8472 5.4592 0.4647 S
```

Summary:
crystal system = orthorhombic
E_form (uncorrected) = -1.6226 eV/atom
spin magnetization = 0.0000 μB per atom
space group = Pnma, No. 62


No. 2
## Lu2MgS4 (PBE)

Data for a relaxed Lu2MgS4 crystal.

Cell and atoms, written as POSCAR:
```
Lu2MgS4
1.0
0.0000 5.4972 5.4972
5.4972 0.0000 5.4972
5.4972 5.4972 0.0000
Lu Mg S
4 2 8
Cartesian
0.0000 0.0000 0.0000 Lu
2.7486 2.7486 0.0000 Lu
2.7486 0.0000 2.7486 Lu
0.0000 2.7486 2.7486 Lu
4.1229 4.1229 4.1229 Mg
6.8714 6.8714 6.8714 Mg
8.3113 5.4316 5.4316 S
2.6831 2.6831 2.6831 S
5.5627 5.5627 2.6831 S
5.5627 2.6831 5.5627 S
5.4316 8.3113 5.4316 S
5.4316 5.4316 8.3113 S
8.3113 8.3113 8.3113 S
2.6831 5.5627 5.5627 S
```

Summary:
crystal system = cubic
E_form (uncorrected) = -1.9008 eV/atom
spin magnetization = 0.0000 μB per atom
space group = Fd-3m, No. 227


No. 3
## Lu2MgS4 (PBE)

Data for a relaxed Lu2MgS4 crystal.

Cell and atoms, written as POSCAR:
```
Lu2MgS4
1.0
7.2635 0.0000 0.0000
-0.2592 8.5901 0.0000
-1.2649 -1.9924 11.2758
Lu Mg S
8 4 16
Cartesian
0.4225 3.2045 3.7719 Lu
0.3139 7.6822 3.9917 Lu
0.5109 -0.9305 11.2461 Lu
1.7149 1.2000 7.3708 Lu
4.0245 5.3977 3.9050 Lu
5.2285 7.5281 0.0297 Lu
5.4254 -1.0845 7.2841 Lu
5.3169 3.3931 7.5039 Lu
0.4618 3.1621 11.1427 Mg
1.5589 5.4389 7.7670 Mg
4.1805 1.1587 3.5087 Mg
5.2776 3.4356 0.1331 Mg
0.2159 7.8434 1.4800 S
0.4673 3.1820 1.2206 S
0.5187 3.4236 6.7990 S
0.7033 -1.1292 6.8131 S
1.5030 5.4544 4.0783 S
1.9125 1.2265 4.5040 S
1.4812 5.4202 10.1451 S
1.6484 1.2254 9.9152 S
4.0909 5.3722 1.3606 S
4.2581 1.1775 1.1307 S
3.8269 5.3712 6.7718 S
4.2364 1.1433 7.1975 S
5.0360 7.7268 4.4627 S
5.2206 3.1740 4.4767 S
5.2720 3.4157 10.0552 S
5.5235 -1.2457 9.7958 S
```

Summary:
crystal system = triclinic
E_form (uncorrected) = -1.7175 eV/atom
spin magnetization = 0.0000 μB per atom
space group = P-1, No. 2


No. 4
## Lu2MgS4 (PBE)

Data for a relaxed Lu2MgS4 crystal.

Cell and atoms, written as POSCAR:
```
Lu2MgS4
1.0
13.2384 0.0000 0.0000
0.0000 7.7235 0.0000
0.0000 0.0000 6.4577
Lu Mg S
8 4 16
Cartesian
0.0000 0.0000 0.0000 Lu
0.0000 3.8618 0.0000 Lu
3.0781 1.9309 3.1947 Lu
3.5411 5.7927 6.4235 Lu
6.6192 0.0000 3.2289 Lu
6.6192 3.8618 3.2289 Lu
9.6973 1.9309 0.0342 Lu
10.1603 5.7927 3.2630 Lu
1.2739 5.7927 2.7183 Mg
5.3453 1.9309 5.9471 Mg
7.8932 5.7927 0.5106 Mg
11.9645 1.9309 3.7395 Mg
0.9512 1.9309 4.8264 S
1.1935 5.7927 5.1098 S
2.2593 3.8997 1.5048 S
2.2593 7.6856 1.5048 S
4.3599 0.0379 4.7337 S
4.3599 3.8239 4.7337 S
5.4257 1.9309 1.8809 S
5.6680 5.7927 1.5975 S
7.5704 1.9309 4.8602 S
7.8127 5.7927 4.5768 S
8.8785 3.8997 1.7241 S
8.8785 7.6856 1.7241 S
10.9791 0.0379 4.9529 S
10.9791 3.8239 4.9529 S
12.0449 1.9309 1.3480 S
12.2872 5.7927 1.6314 S
```

Summary:
crystal system = orthorhombic
E_form (uncorrected) = -1.8677 eV/atom
spin magnetization = 0.0000 μB per atom
space group = Pnma, No. 62


No. 5
## Lu2MgS4 (PBE)

Data for a relaxed Lu2MgS4 crystal.

Cell and atoms, written as POSCAR:
```
Lu2MgS4
1.0
12.4254 0.0000 0.0000
0.0000 3.7804 0.0000
0.0000 0.0000 13.1415
Lu Mg S
8 4 16
Cartesian
1.4352 0.9451 1.0029 Lu
1.7477 0.9451 9.2534 Lu
4.4650 2.8353 2.6826 Lu
4.7775 2.8353 7.5737 Lu
7.6479 0.9451 5.5678 Lu
7.9604 0.9451 10.4589 Lu
10.6777 2.8353 3.8881 Lu
10.9902 2.8353 12.1386 Lu
1.4220 2.8353 5.8909 Mg
4.7907 0.9451 12.4617 Mg
7.6347 2.8353 0.6798 Mg
11.0034 0.9451 7.2506 Mg
0.1497 2.8353 8.1104 S
0.3531 0.9451 11.6012 S
2.7869 0.9451 3.2856 S
3.0022 0.9451 6.7939 S
3.2105 2.8353 0.2231 S
3.4258 2.8353 9.8563 S
5.8596 2.8353 5.0304 S
6.0630 0.9451 1.5396 S
6.3624 2.8353 11.6019 S
6.5658 0.9451 8.1111 S
8.9996 0.9451 3.2852 S
9.2149 0.9451 12.9184 S
9.4232 2.8353 6.3476 S
9.6385 2.8353 9.8559 S
12.0723 2.8353 1.5404 S
12.2757 0.9451 5.0311 S
```

Summary:
crystal system = orthorhombic
E_form (uncorrected) = -1.8286 eV/atom
spin magnetization = 0.0000 μB per atom
space group = Pnma, No. 62


No. 6
## Lu2MgS (PBE)

Data for a relaxed Lu2MgS crystal.

Cell and atoms, written as POSCAR:
```
Lu2MgS
1.0
1.7745 1.0245 9.6985
-1.7745 1.0245 9.6985
0.0000 -2.0491 9.6985
Lu Mg S
2 1 1
Cartesian
0.0000 0.0000 3.1930 Lu
0.0000 0.0000 25.9025 Lu
0.0000 0.0000 0.0000 Mg
0.0000 0.0000 14.5477 S
```

Summary:
crystal system = trigonal
E_form (uncorrected) = -0.6380 eV/atom
spin magnetization = 0.0000 μB per atom
space group = R-3m, No. 166


Number 1: calculated density 5.3 Mg/m³. Number 2: calculated density 5.0 Mg/m³. Number 3: calculated density 4.7 Mg/m³. Number 4: calculated density 5.1 Mg/m³. Number 5: calculated density 5.4 Mg/m³. Number 6: calculated density 6.4 Mg/m³.